No. 1
Material: TbTmTl2
Method: DFT, PBE
State: relaxed

The structure in CIF format:
```
data_TbTmTl2
_chemical_formula_sum 'Tb1 Tm1 Tl2'
_space_group_name_H-M_alt 'P 4/m m m'
_space_group_IT_number 123
_space_group_name_Hall '-P 4 2'
_cell_length_a 3.771
_cell_length_b 3.771
_cell_length_c 7.581
_cell_angle_alpha 90.00
_cell_angle_beta 90.00
_cell_angle_gamma 90.00
loop_
_atom_site_label
_atom_site_type_symbol
_atom_site_fract_x
_atom_site_fract_y
_atom_site_fract_z
_atom_site_occupancy
Tb1 Tb 0.000 0.000 0.000 1
Tm1 Tm 0.000 0.000 0.500 1
Tl1 Tl 0.500 0.500 0.255 1
```

=====

No. 2
Material: PuH3Au
Method: DFT, PBE
State: relaxed

The structure in CIF format:
```
data_PuH3Au
_chemical_formula_sum 'Pu1 H3 Au1'
_space_group_name_H-M_alt 'P m -3 m'
_space_group_IT_number 221
_space_group_name_Hall '-P 4 2 3'
_cell_length_a 3.841
_cell_length_b 3.841
_cell_length_c 3.841
_cell_angle_alpha 90.00
_cell_angle_beta 90.00
_cell_angle_gamma 90.00
loop_
_atom_site_label
_atom_site_type_symbol
_atom_site_fract_x
_atom_site_fract_y
_atom_site_fract_z
_atom_site_occupancy
Pu1 Pu 0.000 0.000 0.000 1
H1 H 0.000 0.500 0.500 1
Au1 Au 0.500 0.500 0.500 1
```

=====

No. 3
Material: Er2TmZnC
Method: DFT, PBE
State: relaxed

The structure in CIF format:
```
data_Er2TmZnC
_chemical_formula_sum 'Er2 Tm1 Zn1 C1'
_space_group_name_H-M_alt 'P 4/m m m'
_space_group_IT_number 123
_space_group_name_Hall '-P 4 2'
_cell_length_a 4.832
_cell_length_b 4.832
_cell_length_c 4.787
_cell_angle_alpha 90.00
_cell_angle_beta 90.00
_cell_angle_gamma 90.00
loop_
_atom_site_label
_atom_site_type_symbol
_atom_site_fract_x
_atom_site_fract_y
_atom_site_fract_z
_atom_site_occupancy
Er1 Er 0.000 0.500 0.000 1
Tm1 Tm 0.000 0.000 0.500 1
Zn1 Zn 0.500 0.500 0.500 1
C1 C 0.000 0.000 0.000 1
```

=====

No. 4
Material: Pm2MoC3
Method: DFT, PBE
State: relaxed

The structure in CIF format:
```
data_Pm2MoC3
_chemical_formula_sum 'Pm8 Mo4 C12'
_space_group_name_H-M_alt 'C m c 21'
_space_group_IT_number 36
_cell_length_a 10.062
_cell_length_b 6.602
_cell_length_c 5.699
_cell_angle_alpha 90.00
_cell_angle_beta 90.00
_cell_angle_gamma 90.00
loop_
_space_group_symop_operation_xyz
'x,y,z'
'-x,-y,z+1/2'
'-x,y,z'
'x,-y,z+1/2'
'x+1/2,y+1/2,z'
'-x+1/2,-y+1/2,z+1/2'
'-x+1/2,y+1/2,z'
'x+1/2,-y+1/2,z+1/2'
loop_
_atom_site_label
_atom_site_type_symbol
_atom_site_fract_x
_atom_site_fract_y
_atom_site_fract_z
_atom_site_occupancy
Pm1 Pm 0.167 0.161 0.000 1
Mo1 Mo 0.000 0.404 0.556 1
C1 C 0.000 0.123 0.630 1
C2 C 0.150 0.488 0.265 1
```

=====

No. 5
Material: Y2PuHg
Method: DFT, PBE
State: relaxed

The structure in CIF format:
```
data_Y2PuHg
_chemical_formula_sum 'Y2 Pu1 Hg1'
_space_group_name_H-M_alt 'P 4/m m m'
_space_group_IT_number 123
_space_group_name_Hall '-P 4 2'
_cell_length_a 5.451
_cell_length_b 5.451
_cell_length_c 3.631
_cell_angle_alpha 90.00
_cell_angle_beta 90.00
_cell_angle_gamma 90.00
loop_
_atom_site_label
_atom_site_type_symbol
_atom_site_fract_x
_atom_site_fract_y
_atom_site_fract_z
_atom_site_occupancy
Y1 Y 0.000 0.500 0.000 1
Pu1 Pu 0.000 0.000 0.500 1
Hg1 Hg 0.500 0.500 0.500 1
```

=====

No. 6
# Rb2TmMnTe4 | Alexandria | PBE | relaxed
# ΔE_f (raw) = -0.82 eV per atom
data_Rb2TmMnTe4
_chemical_formula_sum 'Rb8 Tm4 Mn4 Te16'
_space_group_name_H-M_alt 'I m m a'
_space_group_IT_number 74
_space_group_name_Hall '-I 2b 2'
_cell_length_a 9.152
_cell_length_b 9.170
_cell_length_c 13.465
_cell_angle_alpha 90.00
_cell_angle_beta 90.00
_cell_angle_gamma 90.00
loop_
_atom_site_label
_atom_site_type_symbol
_atom_site_fract_x
_atom_site_fract_y
_atom_site_fract_z
_atom_site_occupancy
Rb1 Rb 0.000 0.000 0.000 1
Rb2 Rb 0.250 0.250 0.250 1
Tm1 Tm 0.000 0.000 0.500 1
Mn1 Mn 0.250 0.250 0.750 1
Te1 Te 0.000 0.060 0.734 1
Te2 Te 0.218 0.250 0.513 1

=====

No. 7
# MgGa2RhCl | Alexandria | PBE | relaxed
# ΔE_f (raw) = -0.47 eV per atom
data_MgGa2RhCl
_chemical_formula_sum 'Mg1 Ga2 Rh1 Cl1'
_space_group_name_H-M_alt 'P 4/m m m'
_space_group_IT_number 123
_space_group_name_Hall '-P 4 2'
_cell_length_a 4.774
_cell_length_b 4.774
_cell_length_c 5.123
_cell_angle_alpha 90.00
_cell_angle_beta 90.00
_cell_angle_gamma 90.00
loop_
_atom_site_label
_atom_site_type_symbol
_atom_site_fract_x
_atom_site_fract_y
_atom_site_fract_z
_atom_site_occupancy
Mg1 Mg 0.000 0.000 0.000 1
Ga1 Ga 0.000 0.500 0.500 1
Rh1 Rh 0.000 0.000 0.500 1
Cl1 Cl 0.500 0.500 0.000 1

=====

No. 8
Material: Ba2SrLa
Method: DFT, PBE
State: relaxed

The structure in CIF format:
```
data_Ba2SrLa
_chemical_formula_sum 'Ba2 Sr1 La1'
_space_group_name_H-M_alt 'P 1 m 1'
_space_group_IT_number 6
_cell_length_a 4.035
_cell_length_b 6.647
_cell_length_c 7.844
_cell_angle_alpha 90.00
_cell_angle_beta 100.31
_cell_angle_gamma 90.00
loop_
_space_group_symop_operation_xyz
'x,y,z'
'x,-y,z'
loop_
_atom_site_label
_atom_site_type_symbol
_atom_site_fract_x
_atom_site_fract_y
_atom_site_fract_z
_atom_site_occupancy
Ba1 Ba 0.000 0.000 0.000 1
Ba2 Ba 0.236 0.500 0.734 1
Sr1 Sr 0.486 0.000 0.479 1
La1 La 0.740 0.500 0.241 1
```

=====

No. 9
# YW2N | Alexandria | PBE | relaxed
# ΔE_f (raw) = 0.43 eV per atom
data_YW2N
_chemical_formula_sum 'Y4 W8 N4'
_space_group_name_H-M_alt 'I -4 2 d'
_space_group_IT_number 122
_space_group_name_Hall 'I -4 2bw'
_cell_length_a 6.261
_cell_length_b 6.261
_cell_length_c 8.299
_cell_angle_alpha 90.00
_cell_angle_beta 90.00
_cell_angle_gamma 90.00
loop_
_atom_site_label
_atom_site_type_symbol
_atom_site_fract_x
_atom_site_fract_y
_atom_site_fract_z
_atom_site_occupancy
Y1 Y 0.000 0.000 0.000 1
W1 W 0.056 0.250 0.625 1
N1 N 0.000 0.000 0.500 1

=====

No. 10
Material: Nd12Tm6Sc
Method: DFT, PBE
State: relaxed

The structure in CIF format:
```
data_Nd12Tm6Sc
_chemical_formula_sum 'Nd36 Tm18 Sc3'
_space_group_name_H-M_alt 'R -3'
_space_group_IT_number 148
_space_group_name_Hall '-R 3'
_cell_length_a 12.0992
_cell_length_b 12.0992
_cell_length_c 15.1686
_cell_angle_alpha 90.00
_cell_angle_beta 90.00
_cell_angle_gamma 120.00
loop_
_atom_site_label
_atom_site_type_symbol
_atom_site_fract_x
_atom_site_fract_y
_atom_site_fract_z
_atom_site_occupancy
Nd1 Nd 0.0024 0.1729 0.3105 1
Nd2 Nd 0.0497 0.8506 0.9149 1
Tm1 Tm 0.0215 0.4315 0.1898 1
Sc1 Sc 0.0000 0.0000 0.5000 1
```

=====

No. 11
# DyPu2HfS4 | Alexandria | PBE | relaxed
# ΔE_f (raw) = -1.70 eV per atom
data_DyPu2HfS4
_chemical_formula_sum 'Dy1 Pu2 Hf1 S4'
_space_group_name_H-M_alt 'P 1 2/m 1'
_space_group_IT_number 10
_cell_length_a 6.587
_cell_length_b 3.849
_cell_length_c 6.765
_cell_angle_alpha 90.00
_cell_angle_beta 109.48
_cell_angle_gamma 90.00
loop_
_space_group_symop_operation_xyz
'x,y,z'
'-x,-y,-z'
'-x,y,-z'
'x,-y,z'
loop_
_atom_site_label
_atom_site_type_symbol
_atom_site_fract_x
_atom_site_fract_y
_atom_site_fract_z
_atom_site_occupancy
Dy1 Dy 0.000 0.000 0.000 1
Pu1 Pu 0.500 0.000 0.500 1
Pu2 Pu 0.500 0.500 0.000 1
Hf1 Hf 0.000 0.500 0.500 1
S1 S 0.235 0.000 0.737 1
S2 S 0.240 0.500 0.257 1

=====

No. 12
# Zn2CdWS | Alexandria | PBE | relaxed
# ΔE_f (raw) = 0.48 eV per atom
data_Zn2CdWS
_chemical_formula_sum 'Zn2 Cd1 W1 S1'
_space_group_name_H-M_alt 'P 4/m m m'
_space_group_IT_number 123
_space_group_name_Hall '-P 4 2'
_cell_length_a 5.139
_cell_length_b 5.139
_cell_length_c 4.471
_cell_angle_alpha 90.00
_cell_angle_beta 90.00
_cell_angle_gamma 90.00
loop_
_atom_site_label
_atom_site_type_symbol
_atom_site_fract_x
_atom_site_fract_y
_atom_site_fract_z
_atom_site_occupancy
Zn1 Zn 0.000 0.500 0.000 1
Cd1 Cd 0.000 0.000 0.500 1
W1 W 0.500 0.500 0.000 1
S1 S 0.500 0.500 0.500 1

=====

One value per record, in order, for raw total energy: -0.278; -0.413; -0.374; -0.591; -0.512; -0.318; -0.282; -0.182; -0.716; -0.340; -0.674; -0.267 Ry per atom.